Record 1
BaCd3Ir: optimized geometry, GGA-PBE.

Computed properties:
offset from the most stable computed form = 1836.1 meV per atom
ΔH_f (0 K) = 1.67 eV per atom
spin magnetization = 0.268 μB per atom

Unit cell a=6.592 b=6.592 c=6.592 alpha=90.00 beta=90.00 gamma=90.00
Space group Pm-3m (No. 221)
One atom of each set of equivalent atoms:
Ba 0.000 0.000 0.000
Cd 0.000 0.000 0.500
Ir 0.500 0.500 0.500

***

Record 2
LiMnVCl2: optimized geometry, GGA-PBE.

Computed properties:
ΔE_f (raw) = -0.04 eV per atom
spin magnetization = 0.216 μB per atom

Unit cell a=4.792 b=4.792 c=4.694 alpha=90.00 beta=90.00 gamma=90.00
Space group P4/mmm (No. 123)
One atom of each set of equivalent atoms:
Li 0.000 0.000 0.000
Mn 0.500 0.500 0.000
V 0.500 0.500 0.500
Cl 0.000 0.500 0.500

***

Record 3
Ac2TbPdSe5: optimized geometry, GGA-PBE.

Computed properties:
ΔE_f (raw) = -1.68 eV per atom
spin magnetization = 0.000 μB per atom

Unit cell a=4.167 b=17.913 c=12.878 alpha=90.00 beta=90.00 gamma=90.00
Space group Cmc2_1 (No. 36)
One atom of each set of equivalent atoms:
Ac 0.000 0.112 0.000
Ac 0.000 0.126 0.353
Tb 0.000 0.176 0.677
Pd 0.000 0.443 0.082
Se 0.000 0.017 0.680
Se 0.000 0.303 0.018
Se 0.000 0.308 0.336
Se 0.000 0.339 0.674
Se 0.000 0.499 0.901

***

Record 4
AcPmInPt: optimized geometry, GGA-PBE.

Computed properties:
ΔH_f (0 K) = -0.60 eV per atom
spin magnetization = 0.000 μB per atom

Unit cell a=7.685 b=7.685 c=7.685 alpha=90.00 beta=90.00 gamma=90.00
Space group F-43m (No. 216)
One atom of each set of equivalent atoms:
Ac 0.000 0.000 0.000
Pm 0.000 0.000 0.500
In 0.250 0.250 0.250
Pt 0.250 0.250 0.750

***

Record 5
YZrRe2: optimized geometry, GGA-PBE.

Computed properties:
offset from the most stable computed form = 254.7 meV per atom
ΔH_f (0 K) = 0.26 eV per atom
spin magnetization = 0.000 μB per atom

Unit cell a=3.000 b=4.511 c=5.852 alpha=90.00 beta=98.86 gamma=90.00
Space group P2/m (No. 10)
One atom of each set of equivalent atoms:
Y 0.000 0.000 0.000
Zr 0.500 0.000 0.500
Re 0.231 0.500 0.707

***

Record 6
Sr2CuGeAu6: optimized geometry, GGA-PBE.

Computed properties:
ΔH_f (0 K) = -0.40 eV per atom
spin magnetization = 0.000 μB per atom

Unit cell a=6.824 b=6.825 c=7.064 alpha=61.37 beta=62.68 gamma=60.48
Space group P-1 (No. 2)
One atom of each set of equivalent atoms:
Sr 0.220 0.221 0.337
Cu 0.500 0.500 0.500
Ge 0.000 0.000 0.000
Au 0.249 0.686 0.810
Au 0.251 0.253 0.814
Au 0.341 0.744 0.163